A relaxed Al2GaIr crystal, computed with PBE-GGA.

Structure (POSCAR):
```
Al2GaIr
1.0
-0.488 2.693 3.429
-3.366 2.812 0.120
-3.287 -0.633 2.836
Ir Al Ga
1 2 1
Cartesian
-1.785 1.218 1.596 Ir
0.000 0.000 0.000 Al
-5.356 3.653 4.789 Al
-3.571 2.435 3.192 Ga
```

Output
- Calculated total energy: -5.02 eV/atom
- Total magnetic moment: 0.00 μB per cell


A relaxed LaMg2H7Pd crystal, computed with PBE-GGA.

Structure (POSCAR):
```
LaMg2H7Pd
1.0
4.671 0.000 0.000
0.000 8.014 0.000
0.000 0.000 11.623
H Pd La Mg
28 4 4 8
Cartesian
4.590 3.771 2.387 H
1.247 1.726 2.542 H
4.553 3.287 4.286 H
2.169 1.376 4.505 H
2.676 2.655 0.737 H
2.502 5.383 1.307 H
4.504 2.632 7.118 H
0.455 3.928 11.481 H
3.513 1.704 2.748 H
0.341 1.352 10.886 H
2.453 4.728 10.097 H
3.424 5.733 3.270 H
1.994 6.662 5.075 H
3.582 2.281 9.081 H
1.177 2.303 8.875 H
4.330 5.359 6.548 H
0.081 7.778 3.424 H
0.167 6.639 10.316 H
2.217 0.721 7.338 H
3.493 6.310 8.559 H
2.790 0.079 0.142 H
1.158 5.711 3.064 H
2.416 4.243 8.199 H
0.118 7.294 1.526 H
2.254 0.236 9.236 H
1.880 4.086 5.669 H
1.088 6.288 8.353 H
4.216 7.935 5.954 H
4.527 7.848 11.537 Pd
2.478 0.167 5.726 Pd
0.143 3.841 5.897 Pd
2.192 4.174 0.086 Pd
0.009 4.376 9.114 La
4.661 0.369 8.321 La
2.345 7.645 2.509 La
2.326 3.638 3.302 La
2.324 1.746 10.467 Mg
0.046 1.326 4.548 Mg
4.659 2.262 1.156 Mg
2.289 6.688 10.360 Mg
4.624 5.333 1.263 Mg
2.347 5.753 6.968 Mg
0.012 6.269 4.656 Mg
2.382 2.681 7.075 Mg
```

Output
- Calculated total energy: -3.73 eV/atom
- Total magnetic moment: 0.02 μB per cell


A relaxed NbInTe2AuSe crystal, computed with PBE-GGA.

Structure (POSCAR):
```
NbInTe2AuSe
1.0
-2.921 3.428 -6.457
0.856 -6.223 4.745
-8.294 2.888 5.285
In Nb Te Au Se
2 2 4 2 2
Cartesian
-4.059 1.761 -2.363 In
-6.299 -1.668 5.935 In
-1.032 -1.398 -0.856 Nb
-5.179 0.047 1.786 Nb
-6.845 3.633 -2.061 Te
-10.385 4.866 0.195 Te
-3.514 -3.540 5.634 Te
0.027 -4.773 3.378 Te
-1.354 -5.153 5.662 Au
-9.005 5.246 -2.089 Au
-2.810 -1.431 1.342 Se
-7.548 1.524 2.231 Se
```

Output
- Calculated total energy: -4.51 eV/atom
- Total magnetic moment: 1.68 μB per cell


A relaxed BeGaIrPb crystal, computed with PBE-GGA.

Structure (POSCAR):
```
BeGaIrPb
1.0
0.000 3.234 3.234
3.234 0.000 3.234
3.234 3.234 0.000
Ga Be Pb Ir
1 1 1 1
Cartesian
1.617 1.617 1.617 Ga
4.851 4.851 4.851 Be
3.234 3.234 3.234 Pb
0.000 0.000 0.000 Ir
```

Output
- Total magnetic moment: 0.01 μB per cell
- Distance to the lowest polymorph of the same formula: 0.000 eV per formula unit


A relaxed NaLaAu2 crystal, computed with PBE-GGA.

Structure (POSCAR):
```
NaLaAu2
1.0
7.189 0.000 0.000
0.000 7.322 0.000
0.000 0.000 7.402
La Au Na
4 8 4
Cartesian
1.772 1.831 3.703 La
5.418 5.492 3.700 La
5.367 5.492 7.401 La
1.823 1.831 0.002 La
3.583 7.309 1.871 Au
7.178 3.648 1.830 Au
0.011 3.674 5.573 Au
0.011 7.309 5.573 Au
3.606 3.648 5.531 Au
3.583 3.674 1.871 Au
3.606 0.013 5.531 Au
7.178 0.013 1.830 Au
1.784 5.492 0.013 Na
1.811 5.492 3.714 Na
5.406 1.831 7.390 Na
5.378 1.831 3.689 Na
```

Output
- Total magnetic moment: 0.00 μB per cell
- Distance to the lowest polymorph of the same formula: 0.242 eV per formula unit


A relaxed Te4PdSe2Br2 crystal, computed with PBE-GGA.

Structure (POSCAR):
```
Te4PdSe2Br2
1.0
-0.846 4.661 -1.173
-3.405 -1.038 -7.070
-8.444 -0.679 0.599
Br Pd Te Se
2 1 4 2
Cartesian
-2.244 2.727 -1.848 Br
-10.452 0.216 -5.796 Br
0.000 0.000 0.000 Pd
-5.053 0.481 -1.386 Te
-4.336 3.777 -4.323 Te
-8.359 -0.834 -3.321 Te
-7.643 2.462 -6.258 Te
-4.954 -0.322 -5.299 Se
-7.742 3.266 -2.345 Se
```

Output
- Calculated total energy: -3.24 eV/atom


A relaxed Tb2TlGa3 crystal, computed with PBE-GGA.

Structure (POSCAR):
```
Tb2TlGa3
1.0
-2.931 5.386 4.102
1.173 -7.247 -0.720
3.943 0.412 2.277
Ga Tb Tl
3 2 1
Cartesian
1.862 -3.094 1.925 Ga
-0.879 -0.931 1.691 Ga
0.323 1.644 3.733 Ga
-2.297 3.436 3.357 Tb
0.539 -5.298 0.024 Tb
1.971 0.206 1.138 Tl
```

Output
- Calculated total energy: -3.90 eV/atom
- Total magnetic moment: 0.00 μB per cell


A relaxed LiPr5Se6 crystal, computed with PBE-GGA.

Structure (POSCAR):
```
LiPr5Se6
1.0
-6.589 3.178 0.206
1.893 -4.150 -5.723
-1.005 -5.232 5.028
Pr Li Se
5 1 6
Cartesian
-2.851 -3.102 -0.244 Pr
-0.947 -1.697 -3.738 Pr
-3.749 0.724 -1.779 Pr
-0.034 -5.535 -2.213 Pr
-5.667 -0.669 1.725 Pr
0.000 0.000 0.000 Li
-2.736 -0.323 0.842 Se
-2.965 -5.881 -1.331 Se
-5.690 -3.527 0.574 Se
-0.011 -2.678 -1.063 Se
-3.818 -2.004 -2.986 Se
-1.883 -4.200 2.497 Se
```

Output
- Calculated total energy: -5.69 eV/atom
- Total magnetic moment: 0.00 μB per cell


A relaxed Hf3Mg4 crystal, computed with PBE-GGA.

Structure (POSCAR):
```
Hf3Mg4
1.0
4.951 -2.913 -6.194
7.685 3.305 -1.172
1.953 -3.419 3.169
Mg Hf
8 6
Cartesian
9.701 -0.150 -6.141 Mg
3.939 -1.166 -3.686 Mg
5.506 -0.242 0.376 Mg
0.021 -0.012 -0.026 Mg
3.583 -2.531 -0.908 Mg
12.304 -0.920 -4.545 Mg
2.903 0.528 -1.220 Mg
7.501 -3.685 -4.567 Mg
8.355 0.214 -0.888 Hf
6.569 -1.942 -2.113 Hf
8.637 1.550 -3.652 Hf
9.350 -1.424 -3.269 Hf
5.856 1.032 -2.497 Hf
6.851 -0.606 -4.877 Hf
```

Output
- Total magnetic moment: 0.16 μB per cell
- Distance to the lowest polymorph of the same formula: 0.000 eV per formula unit


A relaxed Y2Er4TmNi2Te2 crystal, computed with PBE-GGA.

Structure (POSCAR):
```
Y2Er4TmNi2Te2
1.0
-1.916 7.761 4.764
1.916 -7.761 4.764
1.916 7.761 -4.764
Er Te Ni Y Tm
4 2 2 2 1
Cartesian
1.916 5.715 3.765 Er
1.916 -5.715 3.765 Er
0.000 4.898 0.921 Er
0.000 10.625 0.921 Er
0.000 7.761 2.301 Te
0.000 0.000 1.345 Te
1.916 4.055 -0.900 Ni
0.000 3.706 3.864 Ni
1.916 -2.272 2.340 Y
1.916 2.272 2.340 Y
0.000 0.000 4.549 Tm
```

Output
- Total magnetic moment: 0.01 μB per cell
- Distance to the lowest polymorph of the same formula: 0.000 eV per formula unit


A relaxed BeCuReGe crystal, computed with PBE-GGA.

Structure (POSCAR):
```
BeCuReGe
1.0
-2.239 -1.975 2.879
-4.134 0.340 0.006
-2.349 -3.247 -1.067
Be Re Cu Ge
1 1 1 1
Cartesian
-4.361 -2.441 0.909 Be
-2.180 -1.220 0.455 Re
-6.541 -3.661 1.364 Cu
0.000 0.000 0.000 Ge
```

Output
- Total magnetic moment: 0.00 μB per cell
- Distance to the lowest polymorph of the same formula: 0.000 eV per formula unit


A relaxed KAg2PS4 crystal, computed with PBE-GGA.

Structure (POSCAR):
```
KAg2PS4
1.0
-4.591 -3.434 2.623
4.164 -4.706 -0.507
1.889 5.089 3.214
P S Ag K
1 4 2 1
Cartesian
-0.214 -4.069 1.057 P
-1.746 -2.705 1.332 S
0.336 -4.819 2.901 S
1.437 -3.168 0.194 S
1.008 -0.481 3.014 S
-1.459 -1.221 3.455 Ag
2.922 -1.858 1.888 Ag
1.460 -3.043 5.321 K
```

Output
- Calculated total energy: -4.07 eV/atom